1.
Material: Zr2CrRh
Method: DFT, GGA-PBE
State: relaxed

a b c (Å): 4.622 4.622 4.622
angles (deg): 60.00 60.00 60.00
Each line ends with the local moment (μB).
Fractional positions:
Zr1 0.250 0.250 0.250  -0.15
Cr1 0.000 0.000 0.000  1.09
Rh1 0.500 0.500 0.500  0.01
Zr2 0.750 0.750 0.750  -0.15

Calculated values
Its density of states at the Fermi level is 4.2 states/eV/cell. The value obtained for the energy above the lowest structure with this stoichiometry is 66 meV per atom. For the energy relative to the elements, the calculation gives -0.29 eV/atom. For the total DFT energy (no corrections), the calculation gives -8.804 eV/atom. The space-group type is No. 225. The value obtained for the total moment is 0.767 μB per formula unit.

2.
Material: ZrCr2Rh
Method: DFT, GGA-PBE
State: relaxed

a b c (Å): 3.918 2.831 5.600
angles (deg): 75.23 90.00 90.00
Fractional positions:
Cr1 0.500 0.207 0.223
Cr2 0.000 0.059 0.050
Rh1 0.000 0.460 0.474
Zr1 0.500 0.774 0.753

Calculated values
Its density of states at the Fermi level is 4.6 states/eV/cell. The value obtained for the energy above the lowest structure with this stoichiometry is 110 meV per atom. For the energy relative to the elements, the calculation gives 0.02 eV/atom. For the total DFT energy (no corrections), the calculation gives -8.766 eV/atom. The space-group type is No. 6. The value obtained for the total moment is 0.000 μB per formula unit.

3.
Material: ZrCr2Rh2
Method: DFT, GGA-PBE
State: relaxed

a b c (Å): 7.399 7.399 2.714
angles (deg): 90.00 90.00 90.00
Fractional positions:
Cr1 0.668 0.832 0.500
Zr1 0.500 0.500 0.000
Cr2 0.168 0.668 0.500
Cr3 0.832 0.332 0.500
Cr4 0.332 0.168 0.500
Rh1 0.871 0.629 0.000
Rh2 0.129 0.371 0.000
Rh3 0.371 0.871 0.000
Rh4 0.629 0.129 0.000
Zr2 0.000 0.000 0.000

Calculated values
Its density of states at the Fermi level is 13.8 states/eV/cell. The value obtained for the energy above the lowest structure with this stoichiometry is 70 meV per atom. For the energy relative to the elements, the calculation gives -0.04 eV/atom. For the total DFT energy (no corrections), the calculation gives -8.537 eV/atom. The space-group type is No. 127. The value obtained for the total moment is 0.000 μB per formula unit.

4.
Material: ZrCrRh
Method: DFT, GGA-PBE
State: relaxed

a b c (Å): 2.939 2.939 6.679
angles (deg): 90.00 90.00 120.00
Each line ends with the local moment (μB).
Fractional positions:
Zr1 0.333 0.667 0.666  -0.03
Cr1 0.000 0.000 0.019  2.21
Rh1 0.667 0.333 0.315  -0.03

Calculated values
Its density of states at the Fermi level is 4.2 states/eV/cell. The value obtained for the energy above the lowest structure with this stoichiometry is 289 meV per atom. For the energy relative to the elements, the calculation gives 0.18 eV/atom. For the total DFT energy (no corrections), the calculation gives -8.323 eV/atom. The space-group type is No. 156. The value obtained for the total moment is 2.347 μB per formula unit.

5.
Material: ZrCrRh2
Method: DFT, GGA-PBE
State: relaxed

a b c (Å): 4.478 4.478 4.478
angles (deg): 60.00 60.00 60.00
Each line ends with the local moment (μB).
Fractional positions:
Cr1 0.500 0.500 0.500  2.62
Zr1 0.750 0.750 0.750  -0.05
Rh1 0.000 0.000 0.000  0.11
Rh2 0.250 0.250 0.250  0.17

Calculated values
Its density of states at the Fermi level is 8.1 states/eV/cell. For the energy relative to the elements, the calculation gives -0.10 eV/atom. For the total DFT energy (no corrections), the calculation gives -8.319 eV/atom. The space-group type is No. 216. The value obtained for the total moment is 2.986 μB per formula unit.

6.
Material: ZrCr2Rh
Method: DFT, GGA-PBE
State: relaxed

a b c (Å): 4.515 3.663 3.663
angles (deg): 90.00 90.00 90.00
Fractional positions:
Cr1 0.000 0.500 0.500
Cr2 0.000 0.000 0.000
Rh1 0.500 0.500 0.000
Zr1 0.500 0.000 0.500

Calculated values
Its density of states at the Fermi level is 4.8 states/eV/cell. The value obtained for the energy above the lowest structure with this stoichiometry is 182 meV per atom. For the energy relative to the elements, the calculation gives 0.09 eV/atom. For the total DFT energy (no corrections), the calculation gives -8.694 eV/atom. The space-group type is No. 123. The value obtained for the total moment is 0.001 μB per formula unit.

7.
Material: Zr2CrRh
Method: DFT, GGA-PBE
State: relaxed

a b c (Å): 4.572 4.572 4.572
angles (deg): 60.00 60.00 60.00
Fractional positions:
Zr1 0.250 0.250 0.250
Cr1 0.500 0.500 0.500
Zr2 0.000 0.000 0.000
Rh1 0.750 0.750 0.750

Calculated values
Its density of states at the Fermi level is 3.4 states/eV/cell. The value obtained for the energy above the lowest structure with this stoichiometry is 341 meV per atom. For the energy relative to the elements, the calculation gives -0.01 eV/atom. For the total DFT energy (no corrections), the calculation gives -8.529 eV/atom. The space-group type is No. 216. The value obtained for the total moment is 0.005 μB per formula unit.

8.
Material: ZrCr2Rh
Method: DFT, GGA-PBE
State: relaxed

a b c (Å): 4.385 2.724 5.085
angles (deg): 78.83 90.00 90.00
Fractional positions:
Rh1 0.500 0.250 0.250
Cr1 0.000 0.959 0.029
Zr1 0.500 0.750 0.750
Cr2 0.000 0.541 0.471

Calculated values
Its density of states at the Fermi level is 5.1 states/eV/cell. The value obtained for the energy above the lowest structure with this stoichiometry is 271 meV per atom. For the energy relative to the elements, the calculation gives 0.18 eV/atom. For the total DFT energy (no corrections), the calculation gives -8.605 eV/atom. The space-group type is No. 10. The value obtained for the total moment is 0.000 μB per formula unit.

9.
Material: Zr2CrRh
Method: DFT, GGA-PBE
State: relaxed

a b c (Å): 3.019 3.019 7.919
angles (deg): 90.00 90.00 89.93
Each line ends with the local moment (μB).
Fractional positions:
Cr1 0.000 0.000 0.536  1.42
Zr1 0.500 0.500 0.290  -0.15
Zr2 0.000 0.000 0.968  0.03
Rh1 0.500 0.500 0.707  0.04

Calculated values
Its density of states at the Fermi level is 5.2 states/eV/cell. The value obtained for the energy above the lowest structure with this stoichiometry is 327 meV per atom. For the energy relative to the elements, the calculation gives -0.03 eV/atom. For the total DFT energy (no corrections), the calculation gives -8.543 eV/atom. The space-group type is No. 99. The value obtained for the total moment is 1.384 μB per formula unit.

10.
Material: ZrCr2Rh
Method: DFT, GGA-PBE
State: relaxed

a b c (Å): 4.371 4.371 4.371
angles (deg): 60.00 60.00 60.00
Each line ends with the local moment (μB).
Fractional positions:
Rh1 0.500 0.500 0.500  0.12
Zr1 0.000 0.000 0.000  -0.19
Cr1 0.750 0.750 0.750  0.92
Cr2 0.250 0.250 0.250  0.92

Calculated values
Its density of states at the Fermi level is 9.5 states/eV/cell. The value obtained for the energy above the lowest structure with this stoichiometry is 270 meV per atom. For the energy relative to the elements, the calculation gives 0.18 eV/atom. For the total DFT energy (no corrections), the calculation gives -8.606 eV/atom. The space-group type is No. 225. The value obtained for the total moment is 1.766 μB per formula unit.

11.
Material: ZrCr2Rh2
Method: DFT, GGA-PBE
State: relaxed

a b c (Å): 3.335 3.335 7.309
angles (deg): 76.81 76.81 90.00
Fractional positions:
Rh1 0.602 0.602 0.795
Cr1 0.750 0.250 0.500
Cr2 0.250 0.750 0.500
Rh2 0.398 0.398 0.205
Zr1 0.000 0.000 0.000

Calculated values
Its density of states at the Fermi level is 3.9 states/eV/cell. The value obtained for the energy above the lowest structure with this stoichiometry is 46 meV per atom. For the energy relative to the elements, the calculation gives -0.06 eV/atom. For the total DFT energy (no corrections), the calculation gives -8.561 eV/atom. The space-group type is No. 139. The value obtained for the total moment is 0.000 μB per formula unit.

12.
Material: ZrCr2Rh
Method: DFT, GGA-PBE
State: relaxed

a b c (Å): 4.352 4.352 3.160
angles (deg): 90.00 90.00 90.00
Each line ends with the local moment (μB).
Fractional positions:
Cr1 0.000 0.000 0.000  1.31
Cr2 0.500 0.500 0.000  1.31
Zr1 0.000 0.500 0.500  -0.24
Rh1 0.500 0.000 0.500  0.23

Calculated values
Its density of states at the Fermi level is 7.5 states/eV/cell. The value obtained for the energy above the lowest structure with this stoichiometry is 256 meV per atom. For the energy relative to the elements, the calculation gives 0.17 eV/atom. For the total DFT energy (no corrections), the calculation gives -8.620 eV/atom. The space-group type is No. 123. The value obtained for the total moment is 2.667 μB per formula unit.

13.
Material: Zr2CrRh
Method: DFT, GGA-PBE
State: relaxed

a b c (Å): 3.117 4.328 5.496
angles (deg): 90.00 90.00 90.00
Each line ends with the local moment (μB).
Fractional positions:
Cr1 0.000 0.000 0.456  2.37
Zr1 0.000 0.000 0.955  -0.21
Zr2 0.500 0.500 0.302  -0.19
Rh1 0.500 0.500 0.787  0.05

Calculated values
Its density of states at the Fermi level is 3.9 states/eV/cell. The value obtained for the energy above the lowest structure with this stoichiometry is 307 meV per atom. For the energy relative to the elements, the calculation gives -0.05 eV/atom. For the total DFT energy (no corrections), the calculation gives -8.563 eV/atom. The space-group type is No. 25. The value obtained for the total moment is 2.012 μB per formula unit.

14.
Material: ZrCrRh2
Method: DFT, GGA-PBE
State: relaxed

a b c (Å): 4.507 4.507 4.507
angles (deg): 60.00 60.00 60.00
Each line ends with the local moment (μB).
Fractional positions:
Rh1 0.250 0.250 0.250  0.33
Zr1 0.500 0.500 0.500  -0.04
Rh2 0.750 0.750 0.750  0.33
Cr1 0.000 0.000 0.000  3.21

Calculated values
Its density of states at the Fermi level is 1.6 states/eV/cell. For the energy relative to the elements, the calculation gives -0.41 eV/atom. For the total DFT energy (no corrections), the calculation gives -8.626 eV/atom. The space-group type is No. 225. The value obtained for the total moment is 4.052 μB per formula unit.

15.
Material: ZrCr2Rh
Method: DFT, GGA-PBE
State: relaxed

a b c (Å): 8.517 8.517 8.517
angles (deg): 19.56 19.56 19.56
Fractional positions:
Cr1 0.257 0.257 0.257
Rh1 0.509 0.509 0.509
Cr2 0.986 0.986 0.986
Zr1 0.748 0.748 0.748

Calculated values
Its density of states at the Fermi level is 3.6 states/eV/cell. The value obtained for the energy above the lowest structure with this stoichiometry is 287 meV per atom. For the energy relative to the elements, the calculation gives 0.20 eV/atom. For the total DFT energy (no corrections), the calculation gives -8.588 eV/atom. The space-group type is No. 160. The value obtained for the total moment is 0.010 μB per formula unit.

16.
Material: ZrCr2Rh4
Method: DFT, GGA-PBE
State: relaxed

a b c (Å): 4.770 4.770 6.967
angles (deg): 69.98 69.98 90.00
Each line ends with the local moment (μB).
Fractional positions:
Rh1 0.500 0.000 0.000  -0.01
Zr1 0.000 0.000 0.000  0.05
Rh2 0.211 0.211 0.579  -0.08
Cr1 0.608 0.608 0.784  2.79
Rh3 0.789 0.789 0.421  -0.08
Cr2 0.392 0.392 0.216  2.79
Rh4 0.000 0.500 0.000  -0.01

Calculated values
Its density of states at the Fermi level is 6.0 states/eV/cell. For the energy relative to the elements, the calculation gives 0.89 eV/atom. For the total DFT energy (no corrections), the calculation gives -7.280 eV/atom. The space-group type is No. 139. The value obtained for the total moment is 5.963 μB per formula unit.

17.
Material: ZrCrRh
Method: DFT, GGA-PBE
State: relaxed

a b c (Å): 5.409 5.409 5.409
angles (deg): 145.91 145.91 48.97
Each line ends with the local moment (μB).
Fractional positions:
Rh1 0.339 0.339 0.000  0.23
Zr1 0.667 0.667 0.000  -0.25
Cr1 0.994 0.994 0.000  2.28

Calculated values
Its density of states at the Fermi level is 4.1 states/eV/cell. The value obtained for the energy above the lowest structure with this stoichiometry is 0 meV per atom. For the energy relative to the elements, the calculation gives -0.10 eV/atom. For the total DFT energy (no corrections), the calculation gives -8.612 eV/atom. The space-group type is No. 107. The value obtained for the total moment is 2.271 μB per formula unit.

18.
Material: ZrCrRh2
Method: DFT, GGA-PBE
State: relaxed

a b c (Å): 9.142 9.142 9.142
angles (deg): 17.82 17.82 17.82
Each line ends with the local moment (μB).
Fractional positions:
Cr1 0.742 0.742 0.742  -0.08
Rh1 0.006 0.006 0.006  0.02
Rh2 0.252 0.252 0.252  0.30
Zr1 0.500 0.500 0.500  -0.01

Calculated values
Its density of states at the Fermi level is 3.8 states/eV/cell. For the energy relative to the elements, the calculation gives 0.13 eV/atom. For the total DFT energy (no corrections), the calculation gives -8.091 eV/atom. The space-group type is No. 160. The value obtained for the total moment is 0.240 μB per formula unit.

19.
Material: ZrCr2Rh2
Method: DFT, GGA-PBE
State: relaxed

a b c (Å): 7.361 7.361 2.735
angles (deg): 90.00 90.00 90.00
Fractional positions:
Rh1 0.178 0.678 0.500
Cr1 0.610 0.110 0.000
Cr2 0.110 0.390 0.000
Zr1 0.500 0.500 0.000
Cr3 0.390 0.890 0.000
Rh2 0.322 0.178 0.500
Zr2 0.000 0.000 0.000
Rh3 0.822 0.322 0.500
Rh4 0.678 0.822 0.500
Cr4 0.890 0.610 0.000

Calculated values
Its density of states at the Fermi level is 14.6 states/eV/cell. The value obtained for the energy above the lowest structure with this stoichiometry is 0 meV per atom. For the energy relative to the elements, the calculation gives -0.11 eV/atom. For the total DFT energy (no corrections), the calculation gives -8.607 eV/atom. The space-group type is No. 127. The value obtained for the total moment is 0.000 μB per formula unit.

20.
Material: ZrCr2Rh
Method: DFT, GGA-PBE
State: relaxed

a b c (Å): 5.145 5.145 5.145
angles (deg): 137.84 137.84 61.15
Fractional positions:
Zr1 0.750 0.250 0.500
Cr1 0.000 0.000 0.000
Rh1 0.250 0.750 0.500
Cr2 0.500 0.500 0.000

Calculated values
Its density of states at the Fermi level is 5.0 states/eV/cell. The value obtained for the energy above the lowest structure with this stoichiometry is 226 meV per atom. For the energy relative to the elements, the calculation gives 0.14 eV/atom. For the total DFT energy (no corrections), the calculation gives -8.650 eV/atom. The space-group type is No. 139. The value obtained for the total moment is 0.001 μB per formula unit.